1.
DFT (GGA-PBE) results for a relaxed structure of CsK2TlNi.

a = 6.450 Å, b = 6.450 Å, c = 5.190 Å
α = 90.00°, β = 90.00°, γ = 90.00°
Positions (direct):
Cs: 0.500 0.500 0.500
Ni: 0.000 0.000 0.000
Tl: 0.000 0.000 0.500
K: 0.000 0.500 0.000
K: 0.500 0.000 0.000

2.
DFT (GGA-PBE) results for a relaxed structure of Tl2SnSbAs.

a = 5.708 Å, b = 5.708 Å, c = 5.340 Å
α = 90.00°, β = 90.00°, γ = 90.00°
Positions (direct):
Sb: 0.500 0.500 0.500
Tl: 0.000 0.500 0.000
Tl: 0.500 0.000 0.000
As: 0.000 0.000 0.500
Sn: 0.000 0.000 0.000

Output
formation energy (no corrections)	0.568	eV/atom

Computed electronic total energy (eV per atom) in order:
-2.022; -2.933